Here is a relaxed PrPd3 crystal from the Alexandria database. Energies are from GGA-PBE.

Output
The formation energy is -0.573 eV per atom. The symmetry is No. 225.

```
PrPd3
1.0
0.000 3.385 3.385
3.385 0.000 3.385
3.385 3.385 0.000
Pr Pd
1 3
Cartesian
0.000 0.000 0.000 Pr
1.693 1.693 1.693 Pd
3.385 3.385 3.385 Pd
5.078 5.078 5.078 Pd
```